Arrangement i

VASP calculation (PBE) on an optimized crystal structure of NiOs2Pt.

Results
The value obtained for the magnetic moment is 0.0 μB/cell.

```
data_NiOs2Pt
_chemical_formula_sum 'Ni1 Os2 Pt1'
_cell_length_a 2.7252
_cell_length_b 2.7252
_cell_length_c 7.4839
_cell_angle_alpha 90.00
_cell_angle_beta 90.00
_cell_angle_gamma 90.00
_space_group_name_H-M_alt 'P 4 m m'
_space_group_IT_number 99
loop_
_space_group_symop_operation_xyz
'x,y,z'
'-y,x,z'
'-x,-y,z'
'y,-x,z'
'-x,y,z'
'y,x,z'
'x,-y,z'
'-y,-x,z'
loop_
_atom_site_label
_atom_site_fract_x
_atom_site_fract_y
_atom_site_fract_z
Ni1 0.0000 0.0000 0.0000
Os1 0.0000 0.0000 0.4818
Os2 0.5000 0.5000 0.2364
Pt1 0.5000 0.5000 0.7517
```


Arrangement ii

VASP calculation (PBE) on an optimized crystal structure of NiOs2Pt.

Results
The value obtained for the magnetic moment is 0.0 μB/cell.

```
data_NiOs2Pt
_chemical_formula_sum 'Ni2 Os4 Pt2'
_cell_length_a 5.3217
_cell_length_b 7.8136
_cell_length_c 2.6892
_cell_angle_alpha 90.00
_cell_angle_beta 90.00
_cell_angle_gamma 90.00
_space_group_name_H-M_alt 'C m m m'
_space_group_IT_number 65
_space_group_name_Hall '-C 2 2'
loop_
_atom_site_label
_atom_site_fract_x
_atom_site_fract_y
_atom_site_fract_z
Ni1 0.0000 0.0000 0.0000
Os1 0.2500 0.2500 0.5000
Pt1 0.0000 0.5000 0.0000
```


Arrangement iii

VASP calculation (PBE) on an optimized crystal structure of NiOs2Pt.

Results
The value obtained for the magnetic moment is 0.0 μB/cell.

```
data_NiOs2Pt
_chemical_formula_sum 'Ni1 Os2 Pt1'
_cell_length_a 3.7823
_cell_length_b 3.7823
_cell_length_c 3.8951
_cell_angle_alpha 90.00
_cell_angle_beta 90.00
_cell_angle_gamma 90.00
_space_group_name_H-M_alt 'P 4/m m m'
_space_group_IT_number 123
_space_group_name_Hall '-P 4 2'
loop_
_atom_site_label
_atom_site_fract_x
_atom_site_fract_y
_atom_site_fract_z
Ni1 0.0000 0.0000 0.0000
Os1 0.0000 0.5000 0.5000
Pt1 0.5000 0.5000 0.0000
```


Stability, lowest: arrangement ii